Ag3C4: relaxed, PBEsol.

Computed properties:
The calculation puts the total energy at -38.25 eV for the cell shown.

The structure in CIF format:
```
data_Ag3C4
_cell_length_a 6.2056
_cell_length_b 6.2056
_cell_length_c 2.6238
_cell_angle_alpha 90.00
_cell_angle_beta 90.00
_cell_angle_gamma 120.00
_space_group_name_H-M_alt 'P 6/m m m'
_space_group_IT_number 191
_space_group_name_Hall '-P 6 2'
loop_
_atom_site_label
_atom_site_type_symbol
_atom_site_fract_x
_atom_site_fract_y
_atom_site_fract_z
_atom_site_occupancy
Ag1 Ag 0.0000 0.5000 0.0000 1
C1 C 0.0000 0.0000 0.2517 1
C2 C 0.3333 0.6667 0.5000 1
```

---

Na2ZrSi4O11: relaxed, PBEsol.

Computed properties:
The uncorrected formation energy comes out at -2.80 eV/atom. The calculation puts the total energy at -571.93 eV for the cell shown.

The structure in CIF format:
```
data_Na2ZrSi4O11
_cell_length_a 11.087
_cell_length_b 10.147
_cell_length_c 8.610
_cell_angle_alpha 90.00
_cell_angle_beta 100.47
_cell_angle_gamma 90.00
_space_group_name_H-M_alt 'C 1 2/c 1'
_space_group_IT_number 15
loop_
_space_group_symop_operation_xyz
'x,y,z'
'-x,-y,-z'
'-x,y,-z+1/2'
'x,-y,z+1/2'
'x+1/2,y+1/2,z'
'-x+1/2,-y+1/2,-z'
'-x+1/2,y+1/2,-z+1/2'
'x+1/2,-y+1/2,z+1/2'
loop_
_atom_site_label
_atom_site_type_symbol
_atom_site_fract_x
_atom_site_fract_y
_atom_site_fract_z
_atom_site_occupancy
Na1 Na 0.000 0.076 0.250 1
Na2 Na 0.000 0.393 0.250 1
Zr1 Zr 0.250 0.250 0.500 1
Si1 Si 0.050 0.217 0.928 1
Si2 Si 0.235 0.429 0.860 1
O1 O 0.000 0.158 0.750 1
O2 O 0.056 0.231 0.468 1
O3 O 0.115 0.360 0.915 1
O4 O 0.143 0.101 0.005 1
O5 O 0.210 0.414 0.353 1
O6 O 0.240 0.134 0.304 1
```

---

Mg2ZnOs: relaxed, PBEsol.

Computed properties:
The calculation puts the total energy at -33.24 eV for the cell shown.

The structure in CIF format:
```
data_Mg2ZnOs
_cell_length_a 3.486
_cell_length_b 4.138
_cell_length_c 8.493
_cell_angle_alpha 90.00
_cell_angle_beta 90.00
_cell_angle_gamma 90.00
_space_group_name_H-M_alt 'I m m m'
_space_group_IT_number 71
_space_group_name_Hall '-I 2 2'
loop_
_atom_site_label
_atom_site_type_symbol
_atom_site_fract_x
_atom_site_fract_y
_atom_site_fract_z
_atom_site_occupancy
Mg1 Mg 0.000 0.000 0.248 1
Zn1 Zn 0.000 0.500 0.500 1
Os1 Os 0.000 0.500 0.000 1
```

---

Copy entry 3 word for word.
Mg2ZnOs: relaxed, PBEsol.

Computed properties:
The calculation puts the total energy at -33.24 eV for the cell shown.

The structure in CIF format:
```
data_Mg2ZnOs
_cell_length_a 3.486
_cell_length_b 4.138
_cell_length_c 8.493
_cell_angle_alpha 90.00
_cell_angle_beta 90.00
_cell_angle_gamma 90.00
_space_group_name_H-M_alt 'I m m m'
_space_group_IT_number 71
_space_group_name_Hall '-I 2 2'
loop_
_atom_site_label
_atom_site_type_symbol
_atom_site_fract_x
_atom_site_fract_y
_atom_site_fract_z
_atom_site_occupancy
Mg1 Mg 0.000 0.000 0.248 1
Zn1 Zn 0.000 0.500 0.500 1
Os1 Os 0.000 0.500 0.000 1
```